Entry 1:
# PBE Dy3SbAs2, optimized geometry
# Uncorrected formation energy, meV per atom: -1041
data_Dy3SbAs2
_chemical_formula_sum 'Dy6 Sb2 As4'
_symmetry_space_group_name_H-M 'P -1'
_symmetry_Int_Tables_number 2
_symmetry_space_group_name_Hall '-P 1'
_cell_length_a 4.248
_cell_length_b 7.594
_cell_length_c 10.978
_cell_angle_alpha 102.11
_cell_angle_beta 94.59
_cell_angle_gamma 105.58
loop_
_atom_site_label
_atom_site_type_symbol
_atom_site_fract_x
_atom_site_fract_y
_atom_site_fract_z
Dy1 Dy 0.100 0.233 0.423
Dy2 Dy 0.147 0.267 0.071
Dy3 Dy 0.327 0.756 0.260
Sb1 Sb 0.298 0.535 0.693
As1 As 0.094 0.037 0.810
As2 As 0.500 0.000 0.000
As3 As 0.500 0.000 0.500

---

Entry 2:
# PBE Ba2ErTlSe4, optimized geometry
# Uncorrected formation energy, meV per atom: -1608
data_Ba2ErTlSe4
_chemical_formula_sum 'Ba2 Er1 Tl1 Se4'
_symmetry_space_group_name_H-M 'P 1 2/m 1'
_symmetry_Int_Tables_number 10
_symmetry_space_group_name_Hall '-P 2y'
_cell_length_a 7.619
_cell_length_b 4.501
_cell_length_c 8.054
_cell_angle_alpha 90.00
_cell_angle_beta 109.02
_cell_angle_gamma 90.00
loop_
_atom_site_label
_atom_site_type_symbol
_atom_site_fract_x
_atom_site_fract_y
_atom_site_fract_z
Ba1 Ba 0.000 0.000 0.000
Ba2 Ba 0.000 0.500 0.500
Er1 Er 0.500 0.000 0.500
Tl1 Tl 0.500 0.500 0.000
Se1 Se 0.274 0.000 0.724
Se2 Se 0.281 0.500 0.280

---

Entry 3:
# PBE CrCuSiRh, optimized geometry
# Uncorrected formation energy, meV per atom: -260
data_CrCuSiRh
_chemical_formula_sum 'Cr4 Cu4 Si4 Rh4'
_symmetry_space_group_name_H-M 'F -4 3 m'
_symmetry_Int_Tables_number 216
_symmetry_space_group_name_Hall 'F -4 2 3'
_cell_length_a 5.895
_cell_length_b 5.895
_cell_length_c 5.895
_cell_angle_alpha 90.00
_cell_angle_beta 90.00
_cell_angle_gamma 90.00
loop_
_atom_site_label
_atom_site_type_symbol
_atom_site_fract_x
_atom_site_fract_y
_atom_site_fract_z
Cr1 Cr 0.000 0.000 0.000
Cu1 Cu 0.250 0.250 0.750
Si1 Si 0.250 0.250 0.250
Rh1 Rh 0.000 0.000 0.500

---

Entry 4:
# PBE HfTe2Br, optimized geometry
# Energy above the lowest structure with this stoichiometry, meV per atom: 814.5
# Uncorrected formation energy, meV per atom: 252
data_HfTe2Br
_chemical_formula_sum 'Hf3 Te6 Br3'
_symmetry_space_group_name_H-M 'R -3 m'
_symmetry_Int_Tables_number 166
_symmetry_space_group_name_Hall '-R 3 2"'
_cell_length_a 3.2282
_cell_length_b 3.2282
_cell_length_c 38.9862
_cell_angle_alpha 90.00
_cell_angle_beta 90.00
_cell_angle_gamma 120.00
loop_
_atom_site_label
_atom_site_type_symbol
_atom_site_fract_x
_atom_site_fract_y
_atom_site_fract_z
Hf1 Hf 0.0000 0.0000 0.0000
Te1 Te 0.0000 0.0000 0.0745
Br1 Br 0.0000 0.0000 0.5000

---

Entry 5:
# PBE RbTbGe2Br8, optimized geometry
# Uncorrected formation energy, meV per atom: -1169
data_RbTbGe2Br8
_chemical_formula_sum 'Rb1 Tb1 Ge2 Br8'
_symmetry_space_group_name_H-M 'P -1'
_symmetry_Int_Tables_number 2
_symmetry_space_group_name_Hall '-P 1'
_cell_length_a 6.712
_cell_length_b 7.360
_cell_length_c 9.854
_cell_angle_alpha 92.55
_cell_angle_beta 91.48
_cell_angle_gamma 95.95
loop_
_atom_site_label
_atom_site_type_symbol
_atom_site_fract_x
_atom_site_fract_y
_atom_site_fract_z
Rb1 Rb 0.000 0.000 0.000
Tb1 Tb 0.000 0.000 0.500
Ge1 Ge 0.444 0.558 0.289
Br1 Br 0.224 0.182 0.304
Br2 Br 0.225 0.688 0.476
Br3 Br 0.262 0.627 0.083
Br4 Br 0.272 0.135 0.715

---

Entry 6:
# PBE Cs3AsSe3, optimized geometry
# Uncorrected formation energy, meV per atom: -766
data_Cs3AsSe3
_chemical_formula_sum 'Cs6 As2 Se6'
_symmetry_space_group_name_H-M 'P 63/m'
_symmetry_Int_Tables_number 176
_symmetry_space_group_name_Hall '-P 6c'
_cell_length_a 10.4667
_cell_length_b 10.4667
_cell_length_c 7.3713
_cell_angle_alpha 90.00
_cell_angle_beta 90.00
_cell_angle_gamma 120.00
loop_
_atom_site_label
_atom_site_type_symbol
_atom_site_fract_x
_atom_site_fract_y
_atom_site_fract_z
Cs1 Cs 0.0820 0.3702 0.2500
As1 As 0.3333 0.6667 0.7500
Se1 Se 0.1070 0.4141 0.7500

---

Entry 7:
# PBE LiMo2Se, optimized geometry
# Uncorrected formation energy, meV per atom: 431
data_LiMo2Se
_chemical_formula_sum 'Li3 Mo6 Se3'
_symmetry_space_group_name_H-M 'R -3 m'
_symmetry_Int_Tables_number 166
_symmetry_space_group_name_Hall '-R 3 2"'
_cell_length_a 2.9442
_cell_length_b 2.9442
_cell_length_c 26.2679
_cell_angle_alpha 90.00
_cell_angle_beta 90.00
_cell_angle_gamma 120.00
loop_
_atom_site_label
_atom_site_type_symbol
_atom_site_fract_x
_atom_site_fract_y
_atom_site_fract_z
Li1 Li 0.0000 0.0000 0.0000
Mo1 Mo 0.0000 0.0000 0.2419
Se1 Se 0.0000 0.0000 0.5000

---

Entry 8:
# PBE Ac4TbZn5, optimized geometry
# Energy of formation from the pure elements, eV/atom: -0.2498
data_Ac4TbZn5
_chemical_formula_sum 'Ac4 Tb1 Zn5'
_symmetry_space_group_name_H-M 'P 4/m m m'
_symmetry_Int_Tables_number 123
_symmetry_space_group_name_Hall '-P 4 2'
_cell_length_a 3.848
_cell_length_b 3.848
_cell_length_c 19.183
_cell_angle_alpha 90.00
_cell_angle_beta 90.00
_cell_angle_gamma 90.00
loop_
_atom_site_label
_atom_site_type_symbol
_atom_site_fract_x
_atom_site_fract_y
_atom_site_fract_z
Ac1 Ac 0.000 0.000 0.103
Ac2 Ac 0.000 0.000 0.310
Tb1 Tb 0.000 0.000 0.500
Zn1 Zn 0.500 0.500 0.000
Zn2 Zn 0.500 0.500 0.206
Zn3 Zn 0.500 0.500 0.420

---

Entry 9:
# PBE Sc2TaRh, optimized geometry
# Energy of formation from the pure elements, eV/atom: -0.2004
# Energy above the lowest structure with this stoichiometry, meV per atom: 163.8
data_Sc2TaRh
_chemical_formula_sum 'Sc2 Ta1 Rh1'
_symmetry_space_group_name_H-M 'P 1 2/m 1'
_symmetry_Int_Tables_number 10
_symmetry_space_group_name_Hall '-P 2y'
_cell_length_a 3.073
_cell_length_b 4.338
_cell_length_c 5.766
_cell_angle_alpha 90.00
_cell_angle_beta 103.48
_cell_angle_gamma 90.00
loop_
_atom_site_label
_atom_site_type_symbol
_atom_site_fract_x
_atom_site_fract_y
_atom_site_fract_z
Sc1 Sc 0.089 0.000 0.261
Ta1 Ta 0.500 0.500 0.000
Rh1 Rh 0.500 0.500 0.500

---

Entry 10:
# PBE Pm6Ge2Cl, optimized geometry
# Uncorrected formation energy, meV per atom: -730
data_Pm6Ge2Cl
_chemical_formula_sum 'Pm12 Ge4 Cl2'
_symmetry_space_group_name_H-M 'P 1 21/c 1'
_symmetry_Int_Tables_number 14
_symmetry_space_group_name_Hall '-P 2ybc'
_cell_length_a 6.700
_cell_length_b 7.912
_cell_length_c 11.727
_cell_angle_alpha 90.00
_cell_angle_beta 123.91
_cell_angle_gamma 90.00
loop_
_atom_site_label
_atom_site_type_symbol
_atom_site_fract_x
_atom_site_fract_y
_atom_site_fract_z
Pm1 Pm 0.081 0.174 0.434
Pm2 Pm 0.301 0.680 0.438
Pm3 Pm 0.418 0.032 0.267
Ge1 Ge 0.189 0.129 0.750
Cl1 Cl 0.000 0.000 0.000

---

Entry 11:
# PBE Na2Cd17Hg3, optimized geometry
# Energy of formation from the pure elements, eV/atom: 0.0437
data_Na2Cd17Hg3
_chemical_formula_sum 'Na4 Cd34 Hg6'
_symmetry_space_group_name_H-M 'C 1 2/m 1'
_symmetry_Int_Tables_number 12
_symmetry_space_group_name_Hall '-C 2y'
_cell_length_a 12.119
_cell_length_b 12.217
_cell_length_c 8.074
_cell_angle_alpha 90.00
_cell_angle_beta 103.17
_cell_angle_gamma 90.00
loop_
_atom_site_label
_atom_site_type_symbol
_atom_site_fract_x
_atom_site_fract_y
_atom_site_fract_z
Na1 Na 0.146 0.000 0.391
Cd1 Cd 0.000 0.229 0.000
Cd2 Cd 0.000 0.500 0.500
Cd3 Cd 0.065 0.219 0.673
Cd4 Cd 0.113 0.384 0.240
Cd5 Cd 0.145 0.500 0.856
Cd6 Cd 0.176 0.000 0.814
Cd7 Cd 0.250 0.250 0.000
Hg1 Hg 0.000 0.000 0.000
Hg2 Hg 0.250 0.250 0.500

---

Entry 12:
# PBE VSb2Os, optimized geometry
# Energy above the lowest structure with this stoichiometry, meV per atom: 242.0
# Uncorrected formation energy, meV per atom: 601
data_VSb2Os
_chemical_formula_sum 'V3 Sb6 Os3'
_symmetry_space_group_name_H-M 'R -3 m'
_symmetry_Int_Tables_number 166
_symmetry_space_group_name_Hall '-R 3 2"'
_cell_length_a 3.1128
_cell_length_b 3.1128
_cell_length_c 27.6595
_cell_angle_alpha 90.00
_cell_angle_beta 90.00
_cell_angle_gamma 120.00
loop_
_atom_site_label
_atom_site_type_symbol
_atom_site_fract_x
_atom_site_fract_y
_atom_site_fract_z
V1 V 0.0000 0.0000 0.0000
Sb1 Sb 0.0000 0.0000 0.4071
Os1 Os 0.0000 0.0000 0.5000

---

Q: What is the formula in the eleventh record?
A: Na2Cd17Hg3